DFT (GGA-PBEsol) results for a geometry-optimized FeAg4Se structure.

Cell and atoms, written as POSCAR:
```
FeAg4Se
1.0
0.000 3.774 3.774
3.774 0.000 3.774
3.774 3.774 0.000
Fe Ag Se
1 4 1
Cartesian
0.000 0.000 0.000
4.721 2.828 2.828
2.828 4.721 2.828
2.828 2.828 4.721
4.721 4.721 4.721
1.887 1.887 1.887
```

Computed properties:
For the raw formation energy, the calculation gives 0.513 eV/atom. Its space group is No. 216.



DFT (GGA-PBEsol) results for a geometry-optimized Al3PdPt structure.

Cell and atoms, written as POSCAR:
```
Al3PdPt
1.0
4.571 0.000 0.000
0.000 4.571 0.000
0.000 0.000 4.571
Al Pd Pt
3 1 1
Cartesian
0.000 0.000 2.285
0.000 2.285 0.000
2.285 0.000 0.000
0.000 0.000 0.000
2.285 2.285 2.285
```

Computed properties:
Its space group is No. 221. The formation enthalpy at 0 K is 0.1109 eV/atom.



DFT (GGA-PBEsol) results for a geometry-optimized CsLaSe2N structure.

Cell and atoms, written as POSCAR:
```
CsLaSe2N
1.0
5.308 0.000 0.000
0.000 5.308 0.000
0.000 0.000 4.530
Cs La Se N
1 1 2 1
Cartesian
0.000 0.000 0.000
2.654 2.654 0.000
0.000 2.654 2.265
2.654 0.000 2.265
2.654 2.654 2.265
```

Computed properties:
For the raw formation energy, the calculation gives -0.470 eV/atom. Its space group is No. 123.



DFT (GGA-PBEsol) results for a geometry-optimized BaBiC2Se structure.

Cell and atoms, written as POSCAR:
```
BaBiC2Se
1.0
4.604 0.000 0.000
0.000 4.604 0.000
0.000 0.000 5.351
Ba Bi C Se
1 1 2 1
Cartesian
0.000 0.000 0.000
2.302 2.302 0.000
0.000 2.302 2.676
2.302 0.000 2.676
2.302 2.302 2.676
```

Computed properties:
For the raw formation energy, the calculation gives 1.846 eV/atom. Its space group is No. 123.



DFT (GGA-PBEsol) results for a geometry-optimized PrSiIr structure.

Cell and atoms, written as POSCAR:
```
PrSiIr
1.0
6.315 0.000 0.000
0.000 6.315 0.000
0.000 0.000 6.315
Pr Si Ir
4 4 4
Cartesian
0.787 0.787 0.787
2.371 5.529 3.944
3.944 2.371 5.529
5.529 3.944 2.371
1.029 2.128 4.187
2.128 4.187 1.029
4.187 1.029 2.128
5.286 5.286 5.286
0.438 3.595 5.878
2.720 2.720 2.720
3.595 5.878 0.438
5.878 0.438 3.595
```

Computed properties:
For the raw formation energy, the calculation gives -0.928 eV/atom. Its space group is No. 198.



DFT (GGA-PBEsol) results for a geometry-optimized Mg2ZrN structure.

Cell and atoms, written as POSCAR:
```
Mg2ZrN
1.0
-3.903 3.903 2.220
3.903 -3.903 2.220
3.903 3.903 -2.220
Mg Zr N
4 2 2
Cartesian
5.854 1.106 -0.555
1.106 1.951 0.555
-1.951 2.797 1.665
2.797 1.951 2.775
3.903 0.000 1.110
0.000 0.000 2.220
0.000 0.000 0.000
0.000 3.903 1.110
```

Computed properties:
For the raw formation energy, the calculation gives -0.166 eV/atom. Its space group is No. 122.



DFT (GGA-PBEsol) results for a geometry-optimized BeNbP3 structure.

Cell and atoms, written as POSCAR:
```
BeNbP3
1.0
4.749 0.000 0.000
0.000 4.749 0.000
0.000 0.000 4.749
Be Nb P
1 1 3
Cartesian
0.000 0.000 0.000
2.374 2.374 2.374
0.000 2.374 2.374
2.374 0.000 2.374
2.374 2.374 0.000
```

Computed properties:
Its space group is No. 221. The formation enthalpy at 0 K is 0.8889 eV/atom.



DFT (GGA-PBEsol) results for a geometry-optimized Co3Ir structure.

Cell and atoms, written as POSCAR:
```
Co3Ir
1.0
1.286 0.743 8.109
-1.286 0.743 8.109
0.000 -1.485 8.109
Co Ir
3 1
Cartesian
0.000 0.000 0.000
0.000 0.000 6.182
0.000 0.000 18.144
0.000 0.000 12.163
```

Computed properties:
Its space group is No. 166. The formation enthalpy at 0 K is 0.0998 eV/atom.



DFT (GGA-PBEsol) results for a geometry-optimized BaZn2Ag2 structure.

Cell and atoms, written as POSCAR:
```
BaZn2Ag2
1.0
-2.337 2.337 5.157
2.337 -2.337 5.157
2.337 2.337 -5.157
Ba Zn Ag
1 2 2
Cartesian
0.000 0.000 0.000
2.337 0.000 2.578
0.000 2.337 2.578
0.000 0.000 3.778
0.000 0.000 6.536
```

Computed properties:
Its space group is No. 139. The formation enthalpy at 0 K is -0.1553 eV/atom.



DFT (GGA-PBEsol) results for a geometry-optimized Mg2MoRu structure.

Cell and atoms, written as POSCAR:
```
Mg2MoRu
1.0
2.825 0.000 0.000
0.000 4.305 0.000
-1.041 0.000 5.380
Mg Mo Ru
2 1 1
Cartesian
0.000 0.000 0.000
0.063 2.153 3.943
1.705 2.153 1.459
1.098 0.000 2.510
```

Computed properties:
Its space group is No. 6. The value obtained for the relative energy among the computed polymorphs is 19.6 kJ/mol of atoms. The formation enthalpy at 0 K is 0.2316 eV/atom.



DFT (GGA-PBEsol) results for a geometry-optimized CaCdC2S structure.

Cell and atoms, written as POSCAR:
```
CaCdC2S
1.0
4.064 0.000 0.000
0.000 4.064 0.000
0.000 0.000 4.846
Ca Cd C S
1 1 2 1
Cartesian
0.000 0.000 0.000
2.032 2.032 0.000
0.000 2.032 2.423
2.032 0.000 2.423
2.032 2.032 2.423
```

Computed properties:
For the raw formation energy, the calculation gives 1.749 eV/atom. Its space group is No. 123.



DFT (GGA-PBEsol) results for a geometry-optimized SrRu2Pt structure.

Cell and atoms, written as POSCAR:
```
SrRu2Pt
1.0
2.774 0.000 0.000
0.000 4.199 0.000
-1.406 0.000 6.238
Sr Ru Pt
1 2 1
Cartesian
0.000 0.000 0.000
-0.001 2.100 4.012
1.390 0.000 3.246
1.386 2.100 1.691
```

Computed properties:
Its space group is No. 6. The value obtained for the relative energy among the computed polymorphs is 10.3 kJ/mol of atoms. The formation enthalpy at 0 K is 0.3428 eV/atom.



DFT (GGA-PBEsol) results for a geometry-optimized Sc2CrB6 structure.

Cell and atoms, written as POSCAR:
```
Sc2CrB6
1.0
8.855 0.000 0.000
0.000 11.112 0.000
0.000 0.000 3.325
Sc Cr B
8 4 24
Cartesian
0.505 1.452 0.000
1.572 4.603 0.000
2.856 10.158 0.000
3.922 7.008 0.000
4.933 4.103 0.000
5.999 0.953 0.000
7.284 6.509 0.000
8.350 9.659 0.000
1.247 7.561 0.000
3.181 2.005 0.000
5.675 9.107 0.000
7.608 3.551 0.000
0.172 3.206 1.662
0.475 6.282 1.662
0.872 10.812 1.662
1.158 9.082 1.662
1.818 2.632 1.662
2.198 0.883 1.662
2.230 6.439 1.662
2.609 8.188 1.662
3.270 3.526 1.662
3.556 5.256 1.662
3.952 0.726 1.662
4.255 8.762 1.662
4.600 2.350 1.662
4.903 10.386 1.662
5.299 5.856 1.662
5.586 7.586 1.662
6.246 2.924 1.662
6.626 4.672 1.662
6.657 10.228 1.662
7.037 8.480 1.662
7.697 2.030 1.662
7.984 0.300 1.662
8.380 4.830 1.662
8.683 7.906 1.662
```

Computed properties:
Its space group is No. 55. The formation enthalpy at 0 K is -0.8023 eV/atom.



DFT (GGA-PBEsol) results for a geometry-optimized ThNF structure.

Cell and atoms, written as POSCAR:
```
ThNF
1.0
1.988 1.148 6.725
-1.988 1.148 6.725
0.000 -2.295 6.725
Th N F
2 2 2
Cartesian
0.000 0.000 4.819
0.000 0.000 15.357
0.000 0.000 2.471
0.000 0.000 17.705
0.000 0.000 7.433
0.000 0.000 12.743
```

Computed properties:
For the raw formation energy, the calculation gives -2.926 eV/atom. Its space group is No. 166.



DFT (GGA-PBEsol) results for a geometry-optimized CaRe2Cl structure.

Cell and atoms, written as POSCAR:
```
CaRe2Cl
1.0
-1.787 1.787 6.320
1.787 -1.787 6.320
1.787 1.787 -6.320
Ca Re Cl
1 2 1
Cartesian
0.000 0.000 0.000
1.787 0.000 3.160
0.000 1.787 3.160
0.000 0.000 6.320
```

Computed properties:
For the raw formation energy, the calculation gives 0.329 eV/atom. Its space group is No. 139. The value obtained for the relative energy among the computed polymorphs is 38.0 kJ/mol of atoms.



DFT (GGA-PBEsol) results for a geometry-optimized KNiCl2 structure.

Cell and atoms, written as POSCAR:
```
KNiCl2
1.0
4.845 0.000 0.000
0.000 4.845 0.000
0.000 0.000 3.311
K Ni Cl
1 1 2
Cartesian
0.000 0.000 0.000
2.423 2.423 0.000
0.000 2.423 1.656
2.423 0.000 1.656
```

Computed properties:
For the raw formation energy, the calculation gives -0.487 eV/atom. Its space group is No. 123. The value obtained for the relative energy among the computed polymorphs is 0.0 kJ/mol of atoms.



DFT (GGA-PBEsol) results for a geometry-optimized FePt2Rh structure.

Cell and atoms, written as POSCAR:
```
FePt2Rh
1.0
-1.905 1.905 3.819
1.905 -1.905 3.819
1.905 1.905 -3.819
Fe Pt Rh
1 2 1
Cartesian
0.000 0.000 0.000
1.905 0.000 1.910
0.000 1.905 1.910
0.000 0.000 3.819
```

Computed properties:
Its space group is No. 139. The formation enthalpy at 0 K is -0.1133 eV/atom.



DFT (GGA-PBEsol) results for a geometry-optimized Ru2PtCl structure.

Cell and atoms, written as POSCAR:
```
Ru2PtCl
1.0
2.709 0.000 0.000
0.000 4.535 0.000
0.000 0.000 4.739
Ru Pt Cl
2 1 1
Cartesian
0.000 0.000 0.000
1.354 0.000 2.369
0.000 2.267 2.369
1.354 2.267 0.000
```

Computed properties:
For the raw formation energy, the calculation gives 0.859 eV/atom. Its space group is No. 47. The value obtained for the relative energy among the computed polymorphs is 5.5 kJ/mol of atoms.



DFT (GGA-PBEsol) results for a geometry-optimized TlCrCd structure.

Cell and atoms, written as POSCAR:
```
TlCrCd
1.0
-1.581 1.581 6.120
1.581 -1.581 6.120
1.581 1.581 -6.120
Tl Cr Cd
1 1 1
Cartesian
0.000 0.000 0.000
0.000 0.000 4.152
0.000 0.000 8.468
```

Computed properties:
Its space group is No. 107. The formation enthalpy at 0 K is 0.5075 eV/atom.



DFT (GGA-PBEsol) results for a geometry-optimized Ag2PtBr structure.

Cell and atoms, written as POSCAR:
```
Ag2PtBr
1.0
3.700 0.000 0.000
0.000 3.060 0.000
-1.850 0.000 6.735
Ag Pt Br
2 1 1
Cartesian
0.000 0.000 0.000
0.001 1.530 5.242
1.852 0.000 3.939
1.843 1.530 1.846
```

Computed properties:
For the raw formation energy, the calculation gives 0.197 eV/atom. Its space group is No. 6. The value obtained for the relative energy among the computed polymorphs is 0.0 kJ/mol of atoms.



| no. | volume (Å³ per cell) | DOS at the Fermi energy (states/eV/atom) |
| --- | --- | --- |
| 1 | 108 | 1.16 |
| 2 | 95 | 0.51 |
| 3 | 128 | 0.83 |
| 4 | 113 | 0.84 |
| 5 | 252 | 0.34 |
| 6 | 135 | 0.41 |
| 7 | 107 | 0.61 |
| 8 | 46 | 1.49 |
| 9 | 113 | 0.49 |
| 10 | 65 | 0.83 |
| 11 | 80 | 0.53 |
| 12 | 73 | 1.02 |
| 13 | 327 | 0.25 |
| 14 | 92 | 0.00 |
| 15 | 81 | 0.80 |
| 16 | 78 | 1.21 |
| 17 | 55 | 1.33 |
| 18 | 58 | 1.35 |
| 19 | 61 | 0.47 |
| 20 | 76 | 0.39 |